Arrangement A

A geometry-optimized RbCrIr3 structure, computed with PBE.

Properties
**Density of states at the Fermi level**: 5.3 states/eV/f.u.

Cell: 4.6524 4.6524 4.6524 Å, 90.00 90.00 90.00°
Last column: nearest neighbours and their distance in Å.
Atoms (fractional coordinates):
Rb (0.0000, 0.0000, 0.0000)  12 Ir 3.29
Cr (0.5000, 0.5000, 0.5000)  6 Ir 2.33
Ir (0.0000, 0.5000, 0.5000)  2 Cr 2.33
Ir (0.5000, 0.0000, 0.5000)  2 Cr 2.33
Ir (0.5000, 0.5000, 0.0000)  2 Cr 2.33

***

Arrangement B

A geometry-optimized RbCrIr3 structure, computed with PBE.

Properties
**Density of states at the Fermi level**: 14.9 states/eV/f.u.

Cell: 4.7813 4.7813 4.7813 Å, 90.00 90.00 90.00°
Last column: nearest neighbours and their distance in Å.
Atoms (fractional coordinates):
Rb (0.0000, 0.0000, 0.0000)  6 Ir 2.39
Cr (0.5000, 0.5000, 0.5000)  12 Ir 3.38
Ir (0.0000, 0.0000, 0.5000)  2 Rb 2.39
Ir (0.0000, 0.5000, 0.0000)  2 Rb 2.39
Ir (0.5000, 0.0000, 0.0000)  2 Rb 2.39

***

Ordering by calculated energy gives the sequence arrangement A, arrangement B, with the first entry being the most stable.

***

Arrangement A

A geometry-optimized CrReIr structure, computed with PBE.

Properties
**Density of states at the Fermi level**: 1.9 states/eV/f.u.

Cell: 5.0184 5.0184 5.0184 Å, 130.01 116.21 85.14°
Last column: nearest neighbours and their distance in Å.
Atoms (fractional coordinates):
Cr (0.1593, 0.1593, 0.0000)  1 Cr 2.35, 2 Re 2.46
Cr (0.8407, 0.8407, 0.0000)  1 Cr 2.35, 2 Re 2.46
Re (0.3272, 0.8272, 0.5000)  4 Cr 2.46-2.65, 1 Re 2.55
Re (0.6728, 0.1728, 0.5000)  4 Cr 2.46-2.65, 1 Re 2.55
Ir (0.2503, 0.5000, 0.7503)  2 Ir 2.65, 6 Re 2.76-2.81, 6 Cr 2.76-2.85
Ir (0.7497, 0.5000, 0.2497)  2 Ir 2.65, 6 Re 2.76-2.81, 6 Cr 2.76-2.85

***

Arrangement B

A geometry-optimized CrReIr structure, computed with PBE.

Properties
**Density of states at the Fermi level**: 3.1 states/eV/f.u.

Cell: 9.0911 9.0911 3.8749 Å, 90.00 90.00 162.60°
Last column: nearest neighbours and their distance in Å.
Atoms (fractional coordinates):
Cr (0.1516, 0.8484, 0.7500)  2 Ir 2.39, 5 Re 2.56-2.58
Cr (0.8484, 0.1516, 0.2500)  2 Ir 2.39, 5 Re 2.56-2.58
Re (0.2951, 0.7049, 0.7500)  5 Cr 2.56-2.58, 2 Re 2.75
Re (0.7049, 0.2951, 0.2500)  5 Cr 2.56-2.58, 2 Re 2.75
Ir (0.4574, 0.5426, 0.2500)  2 Cr 2.39, 2 Ir 2.47
Ir (0.5426, 0.4574, 0.7500)  2 Cr 2.39, 2 Ir 2.47

***

Arrangement C

A geometry-optimized CrReIr structure, computed with PBE.

Properties
**Density of states at the Fermi level**: 3.7 states/eV/f.u.

Cell: 2.7018 2.7018 6.6175 Å, 90.00 90.00 120.00°
Last column: nearest neighbours and their distance in Å.
Atoms (fractional coordinates):
Cr (0.0000, 0.0000, 0.0000)  3 Ir 2.62, 3 Re 2.67, 6 Cr 2.70
Re (0.3333, 0.6667, 0.6720)  3 Cr 2.67, 6 Re 2.70, 3 Ir 2.82
Ir (0.6667, 0.3333, 0.3172)  3 Cr 2.62, 6 Ir 2.70, 3 Re 2.82

***

Arrangement D

A geometry-optimized CrReIr structure, computed with PBE.

Properties
**Density of states at the Fermi level**: 4.8 states/eV/f.u.

Cell: 4.0515 4.0515 4.0515 Å, 60.00 60.00 60.00°
Last column: nearest neighbours and their distance in Å.
Atoms (fractional coordinates):
Cr (0.0000, 0.0000, 0.0000)  4 Re 2.48, 4 Ir 2.48
Re (0.7500, 0.7500, 0.7500)  4 Cr 2.48
Ir (0.2500, 0.2500, 0.2500)  4 Cr 2.48

***

Ordering by calculated energy gives the sequence arrangement A, arrangement C, arrangement D, arrangement B, with the first entry being the most stable.

***

Arrangement A

A geometry-optimized CrReIr structure, computed with PBE.

Properties
**Density of states at the Fermi level**: 2.2 states/eV/f.u.

Cell: 4.2562 4.2562 2.6608 Å, 90.00 90.00 120.00°
Last column: nearest neighbours and their distance in Å.
Atoms (fractional coordinates):
Cr (0.0000, 0.0000, 0.0000)  3 Re 2.46, 2 Cr 2.66
Re (0.3333, 0.6667, 0.0000)  3 Cr 2.46, 2 Re 2.66
Ir (0.6667, 0.3333, 0.5000)  2 Ir 2.66, 6 Cr 2.79, 6 Re 2.79

***

Arrangement B

A geometry-optimized CrReIr structure, computed with PBE.

Properties
**Density of states at the Fermi level**: 3.7 states/eV/f.u.

Cell: 6.0033 6.0033 6.0033 Å, 154.00 154.00 37.10°
Last column: nearest neighbours and their distance in Å.
Atoms (fractional coordinates):
Cr (0.0000, 0.0000, 0.0000)  4 Ir 2.65, 4 Re 2.67, 4 Cr 2.70
Re (0.3361, 0.3361, 0.0000)  4 Cr 2.67, 4 Re 2.70, 4 Ir 2.76
Ir (0.6613, 0.6613, 0.0000)  4 Cr 2.65, 4 Ir 2.70, 4 Re 2.76

***

Arrangement C

A geometry-optimized CrReIr structure, computed with PBE.

Properties
**Density of states at the Fermi level**: 3.3 states/eV/f.u.

Cell: 4.6923 4.6923 4.6923 Å, 146.78 132.22 59.43°
Last column: nearest neighbours and their distance in Å.
Atoms (fractional coordinates):
Cr (0.0000, 0.0000, 0.0000)  5 Ir 2.68-2.74, 5 Re 2.68-2.74, 2 Cr 2.68
Re (0.3363, 0.3363, 0.0000)  5 Ir 2.67-2.72, 5 Cr 2.68-2.74, 2 Re 2.68
Ir (0.6634, 0.6634, 0.0000)  5 Re 2.67-2.72, 5 Cr 2.68-2.74, 2 Ir 2.68

***

Ordering by calculated energy gives the sequence arrangement C, arrangement B, arrangement A, with the first entry being the most stable.